*a*
Entry from the Alexandria database: a relaxed SiMo2As crystal (PBE).

CIF file:
```
data_SiMo2As
_cell_length_a 3.256
_cell_length_b 4.467
_cell_length_c 9.348
_cell_angle_alpha 90.00
_cell_angle_beta 90.00
_cell_angle_gamma 90.00
_space_group_name_H-M_alt 'C m m 2'
_space_group_IT_number 35
loop_
_space_group_symop_operation_xyz
'x,y,z'
'-x,-y,z'
'-x,y,z'
'x,-y,z'
'x+1/2,y+1/2,z'
'-x+1/2,-y+1/2,z'
'-x+1/2,y+1/2,z'
'x+1/2,-y+1/2,z'
loop_
_atom_site_label
_atom_site_type_symbol
_atom_site_fract_x
_atom_site_fract_y
_atom_site_fract_z
Si1 Si 0.000 0.000 0.000
Mo1 Mo 0.000 0.000 0.549
Mo2 Mo 0.000 0.500 0.784
As1 As 0.000 0.500 0.324
```

## Properties
mass density = 7.20 g cm⁻³

*b*
Entry from the Alexandria database: a relaxed SiMo2As crystal (PBE).

CIF file:
```
data_SiMo2As
_cell_length_a 3.0145
_cell_length_b 3.0145
_cell_length_c 24.1653
_cell_angle_alpha 90.00
_cell_angle_beta 90.00
_cell_angle_gamma 120.00
_space_group_name_H-M_alt 'R 3 m'
_space_group_IT_number 160
_space_group_name_Hall 'R 3 -2"'
loop_
_atom_site_label
_atom_site_type_symbol
_atom_site_fract_x
_atom_site_fract_y
_atom_site_fract_z
Si1 Si 0.0000 0.0000 0.0000
Mo1 Mo 0.0000 0.0000 0.4982
Mo2 Mo 0.0000 0.0000 0.7450
As1 As 0.0000 0.0000 0.2464
```

## Properties
mass density = 7.72 g cm⁻³

*c*
Entry from the Alexandria database: a relaxed SiMo2As crystal (PBE).

CIF file:
```
data_SiMo2As
_cell_length_a 2.9935
_cell_length_b 2.9935
_cell_length_c 23.6846
_cell_angle_alpha 90.00
_cell_angle_beta 90.00
_cell_angle_gamma 120.00
_space_group_name_H-M_alt 'R -3 m'
_space_group_IT_number 166
_space_group_name_Hall '-R 3 2"'
loop_
_atom_site_label
_atom_site_type_symbol
_atom_site_fract_x
_atom_site_fract_y
_atom_site_fract_z
Si1 Si 0.0000 0.0000 0.0000
Mo1 Mo 0.0000 0.0000 0.2500
As1 As 0.0000 0.0000 0.5000
```

## Properties
mass density = 7.99 g cm⁻³

*d*
Entry from the Alexandria database: a relaxed SiMo2As crystal (PBE).

CIF file:
```
data_SiMo2As
_cell_length_a 3.246
_cell_length_b 4.248
_cell_length_c 8.769
_cell_angle_alpha 90.00
_cell_angle_beta 90.00
_cell_angle_gamma 90.00
_space_group_name_H-M_alt 'I m m 2'
_space_group_IT_number 44
loop_
_space_group_symop_operation_xyz
'x,y,z'
'-x,-y,z'
'-x,y,z'
'x,-y,z'
'x+1/2,y+1/2,z+1/2'
'-x+1/2,-y+1/2,z+1/2'
'-x+1/2,y+1/2,z+1/2'
'x+1/2,-y+1/2,z+1/2'
loop_
_atom_site_label
_atom_site_type_symbol
_atom_site_fract_x
_atom_site_fract_y
_atom_site_fract_z
Si1 Si 0.000 0.000 0.000
Mo1 Mo 0.000 0.000 0.493
Mo2 Mo 0.000 0.500 0.726
As1 As 0.000 0.500 0.231
```

## Properties
mass density = 8.10 g cm⁻³

*d* takes first place; second place is 0.020 eV/atom up.

*a*
Entry from the Alexandria database: a relaxed SnMo2As crystal (PBE).

CIF file:
```
data_SnMo2As
_cell_length_a 6.473
_cell_length_b 6.473
_cell_length_c 6.473
_cell_angle_alpha 90.00
_cell_angle_beta 90.00
_cell_angle_gamma 90.00
_space_group_name_H-M_alt 'F m -3 m'
_space_group_IT_number 225
_space_group_name_Hall '-F 4 2 3'
loop_
_atom_site_label
_atom_site_type_symbol
_atom_site_fract_x
_atom_site_fract_y
_atom_site_fract_z
Sn1 Sn 0.000 0.000 0.000
Mo1 Mo 0.250 0.250 0.250
As1 As 0.000 0.000 0.500
```

## Properties
mass density = 9.44 g cm⁻³

*b*
Entry from the Alexandria database: a relaxed SnMo2As crystal (PBE).

CIF file:
```
data_SnMo2As
_cell_length_a 4.103
_cell_length_b 4.103
_cell_length_c 18.665
_cell_angle_alpha 90.00
_cell_angle_beta 90.00
_cell_angle_gamma 90.00
_space_group_name_H-M_alt 'I -4 2 d'
_space_group_IT_number 122
_space_group_name_Hall 'I -4 2bw'
loop_
_atom_site_label
_atom_site_type_symbol
_atom_site_fract_x
_atom_site_fract_y
_atom_site_fract_z
Sn1 Sn 0.000 0.000 0.000
Mo1 Mo 0.183 0.250 0.625
As1 As 0.000 0.000 0.500
```

## Properties
mass density = 8.15 g cm⁻³

*a* takes first place; second place is 0.213 eV/atom up.

*a*
Entry from the Alexandria database: a relaxed SrMoAs2 crystal (PBE).

CIF file:
```
data_SrMoAs2
_cell_length_a 3.614
_cell_length_b 3.614
_cell_length_c 7.597
_cell_angle_alpha 90.00
_cell_angle_beta 90.00
_cell_angle_gamma 90.00
_space_group_name_H-M_alt 'P 4 m m'
_space_group_IT_number 99
loop_
_space_group_symop_operation_xyz
'x,y,z'
'-y,x,z'
'-x,-y,z'
'y,-x,z'
'-x,y,z'
'y,x,z'
'x,-y,z'
'-y,-x,z'
loop_
_atom_site_label
_atom_site_type_symbol
_atom_site_fract_x
_atom_site_fract_y
_atom_site_fract_z
Sr1 Sr 0.000 0.000 0.000
Mo1 Mo 0.500 0.500 0.539
As1 As 0.000 0.000 0.592
As2 As 0.500 0.500 0.224
```

## Properties
mass density = 5.58 g cm⁻³

*b*
Entry from the Alexandria database: a relaxed SrMoAs2 crystal (PBE).

CIF file:
```
data_SrMoAs2
_cell_length_a 6.265
_cell_length_b 7.493
_cell_length_c 3.581
_cell_angle_alpha 90.00
_cell_angle_beta 90.00
_cell_angle_gamma 90.00
_space_group_name_H-M_alt 'C m m m'
_space_group_IT_number 65
_space_group_name_Hall '-C 2 2'
loop_
_atom_site_label
_atom_site_type_symbol
_atom_site_fract_x
_atom_site_fract_y
_atom_site_fract_z
Sr1 Sr 0.000 0.000 0.000
Mo1 Mo 0.000 0.500 0.000
As1 As 0.250 0.250 0.500
```

## Properties
mass density = 6.59 g cm⁻³

*a* takes first place; second place is 0.236 eV/atom up.

*a*
Entry from the Alexandria database: a relaxed SrMoAs2 crystal (PBE).

CIF file:
```
data_SrMoAs2
_cell_length_a 3.7662
_cell_length_b 3.7662
_cell_length_c 21.8003
_cell_angle_alpha 90.00
_cell_angle_beta 90.00
_cell_angle_gamma 120.00
_space_group_name_H-M_alt 'R 3 m'
_space_group_IT_number 160
_space_group_name_Hall 'R 3 -2"'
loop_
_atom_site_label
_atom_site_type_symbol
_atom_site_fract_x
_atom_site_fract_y
_atom_site_fract_z
Sr1 Sr 0.0000 0.0000 0.0000
Mo1 Mo 0.0000 0.0000 0.8268
As1 As 0.0000 0.0000 0.2286
As2 As 0.0000 0.0000 0.4293
```

## Properties
mass density = 6.20 g cm⁻³

*b*
Entry from the Alexandria database: a relaxed SrMoAs2 crystal (PBE).

CIF file:
```
data_SrMoAs2
_cell_length_a 3.8083
_cell_length_b 3.8083
_cell_length_c 21.2284
_cell_angle_alpha 90.00
_cell_angle_beta 90.00
_cell_angle_gamma 120.00
_space_group_name_H-M_alt 'R -3 m'
_space_group_IT_number 166
_space_group_name_Hall '-R 3 2"'
loop_
_atom_site_label
_atom_site_type_symbol
_atom_site_fract_x
_atom_site_fract_y
_atom_site_fract_z
Sr1 Sr 0.0000 0.0000 0.0000
Mo1 Mo 0.0000 0.0000 0.5000
As1 As 0.0000 0.0000 0.2336
```

## Properties
mass density = 6.23 g cm⁻³

*b* takes first place; second place is 0.025 eV/atom up.

*a*
Entry from the Alexandria database: a relaxed SrMo2As2 crystal (PBE).

CIF file:
```
data_SrMo2As2
_cell_length_a 3.909
_cell_length_b 3.909
_cell_length_c 13.943
_cell_angle_alpha 90.00
_cell_angle_beta 90.00
_cell_angle_gamma 90.00
_space_group_name_H-M_alt 'I 4/m m m'
_space_group_IT_number 139
_space_group_name_Hall '-I 4 2'
loop_
_atom_site_label
_atom_site_type_symbol
_atom_site_fract_x
_atom_site_fract_y
_atom_site_fract_z
Sr1 Sr 0.000 0.000 0.000
Mo1 Mo 0.000 0.500 0.250
As1 As 0.000 0.000 0.373
```

## Properties
mass density = 6.69 g cm⁻³

*b*
Entry from the Alexandria database: a relaxed SrMo2As2 crystal (PBE).

CIF file:
```
data_SrMo2As2
_cell_length_a 4.909
_cell_length_b 4.909
_cell_length_c 8.767
_cell_angle_alpha 90.00
_cell_angle_beta 90.00
_cell_angle_gamma 90.00
_space_group_name_H-M_alt 'I 4/m m m'
_space_group_IT_number 139
_space_group_name_Hall '-I 4 2'
loop_
_atom_site_label
_atom_site_type_symbol
_atom_site_fract_x
_atom_site_fract_y
_atom_site_fract_z
Sr1 Sr 0.000 0.000 0.000
Mo1 Mo 0.000 0.000 0.375
As1 As 0.000 0.500 0.250
```

## Properties
mass density = 6.75 g cm⁻³

*a* takes first place; second place is 0.199 eV/atom up.

*a*
Entry from the Alexandria database: a relaxed TcMoAs2 crystal (PBE).

CIF file:
```
data_TcMoAs2
_cell_length_a 4.009
_cell_length_b 4.009
_cell_length_c 17.042
_cell_angle_alpha 90.00
_cell_angle_beta 90.00
_cell_angle_gamma 90.00
_space_group_name_H-M_alt 'I -4 2 d'
_space_group_IT_number 122
_space_group_name_Hall 'I -4 2bw'
loop_
_atom_site_label
_atom_site_type_symbol
_atom_site_fract_x
_atom_site_fract_y
_atom_site_fract_z
Tc1 Tc 0.000 0.000 0.000
Mo1 Mo 0.000 0.000 0.500
As1 As 0.243 0.250 0.125
```

## Properties
mass density = 8.34 g cm⁻³

*b*
Entry from the Alexandria database: a relaxed TcMoAs2 crystal (PBE).

CIF file:
```
data_TcMoAs2
_cell_length_a 2.954
_cell_length_b 3.941
_cell_length_c 5.390
_cell_angle_alpha 90.00
_cell_angle_beta 90.00
_cell_angle_gamma 90.00
_space_group_name_H-M_alt 'P m m 2'
_space_group_IT_number 25
loop_
_space_group_symop_operation_xyz
'x,y,z'
'-x,-y,z'
'-x,y,z'
'x,-y,z'
loop_
_atom_site_label
_atom_site_type_symbol
_atom_site_fract_x
_atom_site_fract_y
_atom_site_fract_z
Tc1 Tc 0.000 0.000 0.000
Mo1 Mo 0.500 0.500 0.683
As1 As 0.000 0.000 0.511
As2 As 0.500 0.500 0.167
```

## Properties
mass density = 9.10 g cm⁻³

*b* takes first place; second place is 0.368 eV/atom up.

*a*
Entry from the Alexandria database: a relaxed TcMoAs2 crystal (PBE).

CIF file:
```
data_TcMoAs2
_cell_length_a 3.099
_cell_length_b 4.012
_cell_length_c 5.175
_cell_angle_alpha 90.00
_cell_angle_beta 90.00
_cell_angle_gamma 90.00
_space_group_name_H-M_alt 'P m m m'
_space_group_IT_number 47
loop_
_space_group_symop_operation_xyz
'x,y,z'
'-x,-y,-z'
'-x,-y,z'
'x,y,-z'
'x,-y,-z'
'-x,y,z'
'-x,y,-z'
'x,-y,z'
loop_
_atom_site_label
_atom_site_type_symbol
_atom_site_fract_x
_atom_site_fract_y
_atom_site_fract_z
Tc1 Tc 0.000 0.000 0.000
Mo1 Mo 0.500 0.000 0.500
As1 As 0.000 0.500 0.500
As2 As 0.500 0.500 0.000
```

## Properties
mass density = 8.87 g cm⁻³

*b*
Entry from the Alexandria database: a relaxed TcMoAs2 crystal (PBE).

CIF file:
```
data_TcMoAs2
_cell_length_a 4.056
_cell_length_b 4.056
_cell_length_c 7.638
_cell_angle_alpha 90.00
_cell_angle_beta 90.00
_cell_angle_gamma 90.00
_space_group_name_H-M_alt 'I -4 m 2'
_space_group_IT_number 119
_space_group_name_Hall 'I -4 -2'
loop_
_atom_site_label
_atom_site_type_symbol
_atom_site_fract_x
_atom_site_fract_y
_atom_site_fract_z
Tc1 Tc 0.000 0.000 0.000
Mo1 Mo 0.000 0.500 0.250
As1 As 0.000 0.000 0.500
As2 As 0.000 0.500 0.750
```

## Properties
mass density = 9.09 g cm⁻³

*b* takes first place; second place is 0.066 eV/atom up.

*a*
Entry from the Alexandria database: a relaxed Te4MoAs crystal (PBE).

CIF file:
```
data_Te4MoAs
_cell_length_a 8.796
_cell_length_b 8.796
_cell_length_c 8.796
_cell_angle_alpha 90.00
_cell_angle_beta 90.00
_cell_angle_gamma 90.00
_space_group_name_H-M_alt 'F -4 3 m'
_space_group_IT_number 216
_space_group_name_Hall 'F -4 2 3'
loop_
_atom_site_label
_atom_site_type_symbol
_atom_site_fract_x
_atom_site_fract_y
_atom_site_fract_z
Te1 Te 0.125 0.125 0.125
Mo1 Mo 0.000 0.000 0.500
As1 As 0.250 0.250 0.750
```

## Properties
mass density = 6.65 g cm⁻³

*b*
Entry from the Alexandria database: a relaxed Te4MoAs crystal (PBE).

CIF file:
```
data_Te4MoAs
_cell_length_a 14.080
_cell_length_b 3.553
_cell_length_c 7.356
_cell_angle_alpha 90.00
_cell_angle_beta 101.08
_cell_angle_gamma 90.00
_space_group_name_H-M_alt 'C 1 2/m 1'
_space_group_IT_number 12
loop_
_space_group_symop_operation_xyz
'x,y,z'
'-x,-y,-z'
'-x,y,-z'
'x,-y,z'
'x+1/2,y+1/2,z'
'-x+1/2,-y+1/2,-z'
'-x+1/2,y+1/2,-z'
'x+1/2,-y+1/2,z'
loop_
_atom_site_label
_atom_site_type_symbol
_atom_site_fract_x
_atom_site_fract_y
_atom_site_fract_z
Te1 Te 0.117 0.000 0.362
Te2 Te 0.118 0.500 0.838
Mo1 Mo 0.000 0.500 0.500
As1 As 0.000 0.000 0.000
```

## Properties
mass density = 6.27 g cm⁻³

*b* takes first place; second place is 1.167 eV/atom up.